Below is a relaxed BaAgSb2 crystal, with properties calculated at the GGA-PBE level.

Unit cell a=4.195 b=5.631 c=10.601 alpha=90.00 beta=90.00 gamma=90.00
Space group Imm2 (No. 44)
One atom of each set of equivalent atoms:
Ba  0.000  0.000  0.000 (multiplicity 2)
Ag  0.000  0.500  0.202 (multiplicity 2)
Sb  0.000  0.000  0.492 (multiplicity 2)
Sb  0.000  0.500  0.783 (multiplicity 2)

## Properties
uncorrected formation energy = -1.1 eV per formula unit
total magnetization = 0.0 μB per cell
volume = 125.2 Å³/f.u.
final energy = -28.34 eV per cell

Below is a relaxed BaAgSb crystal, with properties calculated at the GGA-PBE level.

Unit cell a=5.7726 b=5.7726 c=13.6960 alpha=90.00 beta=90.00 gamma=120.00
Space group P6_3/mmc (No. 194)
One atom of each set of equivalent atoms:
Ba  0.0000  0.0000  0.2500 (multiplicity 2)
Ag  0.3333  0.6667  0.2500 (multiplicity 2)
Sb  0.0000  0.0000  0.0000 (multiplicity 2)

## Properties
uncorrected formation energy = 1.8 eV per formula unit
total magnetization = 4.0 μB per cell
volume = 197.6 Å³/f.u.
final energy = -14.17 eV per cell

What is the volume in the second record?
197.6 Å³/f.u.

Among the records above, which one has the lowest volume?
BaAgSb2